Below is Ac2Mg4InGa3 after structural relaxation, with properties calculated at the GGA-PBE level.

Unit cell a=4.648 b=4.648 c=11.665 alpha=90.00 beta=90.00 gamma=90.00
Space group P-4m2 (No. 115)
Symmetry-distinct sites (fractional):
Ac (0.000, 0.500, 0.246) (multiplicity 2)
Mg (0.000, 0.000, 0.000) (multiplicity 1)
Mg (0.000, 0.500, 0.640) (multiplicity 2)
Mg (0.500, 0.500, 0.000) (multiplicity 1)
In (0.000, 0.000, 0.500) (multiplicity 1)
Ga (0.000, 0.500, 0.866) (multiplicity 2)
Ga (0.500, 0.500, 0.500) (multiplicity 1)

The density of states at the Fermi level comes out at 0.310 states/eV/atom. The calculation puts the total magnetic moment at 0.000 Bohr magnetons per cell. The energy of formation from the pure elements comes out at -0.36 eV per atom.